1.
DFT (PBE) results for a relaxed structure of In2AgNF.

Lattice parameters (Å, degrees): 5.6135 5.6135 4.3756 90.00 90.00 90.00
Element x y z (fractional)
In1 0.0000 0.5000 0.0000
In2 0.5000 0.0000 0.0000
Ag1 0.0000 0.0000 0.0000
N1 0.5000 0.5000 0.5000
F1 0.0000 0.0000 0.5000

## Properties
Size of the total moment = 1.69 μB per cell
Formation energy without anion corrections = 0.663 eV/atom

=====

2.
DFT (PBE) results for a relaxed structure of InAgN2F.

Lattice parameters (Å, degrees): 4.3349 4.3349 4.2991 90.00 90.00 90.00
Element x y z (fractional)
In1 0.0000 0.0000 0.0000
Ag1 0.5000 0.5000 0.5000
N1 0.0000 0.5000 0.0000
N2 0.5000 0.0000 0.0000
F1 0.0000 0.0000 0.5000

## Properties
E above lowest polymorph = 0.000 eV per atom
Size of the total moment = 2.95 μB per cell
Formation energy without anion corrections = 0.753 eV/atom

=====

3.
DFT (PBE) results for a relaxed structure of InAgN2F.

Lattice parameters (Å, degrees): 4.1076 4.1076 4.4176 90.00 90.00 90.00
Element x y z (fractional)
In1 0.0000 0.0000 0.0000
Ag1 0.5000 0.5000 0.5000
N1 0.0000 0.5000 0.5000
N2 0.5000 0.0000 0.5000
F1 0.5000 0.5000 0.0000

## Properties
E above lowest polymorph = 0.269 eV per atom
Size of the total moment = 1.80 μB per cell
Formation energy without anion corrections = 1.022 eV/atom

=====

4.
DFT (PBE) results for a relaxed structure of NaInAgF6.

Lattice parameters (Å, degrees): 5.0978 5.0978 10.5002 90.00 90.00 90.00
Element x y z (fractional)
Na1 0.0000 0.0000 0.0000
Na2 0.5000 0.5000 0.5000
In1 0.0000 0.0000 0.6647
In2 0.5000 0.5000 0.1647
Ag1 0.0000 0.0000 0.3312
Ag2 0.5000 0.5000 0.8312
F1 0.1877 0.1877 0.5103
F2 0.1947 0.1947 0.8189
F3 0.2090 0.2090 0.1679
F4 0.2910 0.7090 0.6679
F5 0.3053 0.6947 0.3189
F6 0.3123 0.6877 0.0103
F7 0.6877 0.3123 0.0103
F8 0.6947 0.3053 0.3189
F9 0.7090 0.2910 0.6679
F10 0.7910 0.7910 0.1679
F11 0.8053 0.8053 0.8189
F12 0.8123 0.8123 0.5103

## Properties
Size of the total moment = 2.03 μB per cell
Formation energy without anion corrections = -2.104 eV/atom

=====

5.
DFT (PBE) results for a relaxed structure of NaInAg2F6.

Lattice parameters (Å, degrees): 5.8748 6.0726 10.2468 90.00 124.37 90.00
Element x y z (fractional)
Na1 0.0000 0.0000 0.0000
Na2 0.0000 0.5000 0.5000
In1 0.5000 0.0000 0.5000
In2 0.5000 0.5000 0.0000
Ag1 0.2286 0.0576 0.7476
Ag2 0.2286 0.4424 0.2476
Ag3 0.7714 0.5576 0.7524
Ag4 0.7714 0.9424 0.2524
F1 0.1588 0.1927 0.4456
F2 0.1588 0.3073 0.9456
F3 0.2443 0.7183 0.4291
F4 0.2443 0.7817 0.9291
F5 0.3833 0.0530 0.2643
F6 0.3833 0.4470 0.7643
F7 0.6167 0.5530 0.2357
F8 0.6167 0.9470 0.7357
F9 0.7557 0.2183 0.0709
F10 0.7557 0.2817 0.5709
F11 0.8412 0.6927 0.0544
F12 0.8412 0.8073 0.5544

## Properties
Size of the total moment = 0.01 μB per cell
Formation energy without anion corrections = -1.982 eV/atom